1.
This record from Alexandria describes an optimized crystal structure of AcTb2In. The functional is PBE-GGA.

raw total energy: -16.275 eV per cell
E above lowest polymorph: 0.173 eV/atom
size of the total moment: 0.17 μB/f.u.

Cell: 5.6149 5.6149 5.6149 Å, 60.00 60.00 60.00°
Fractional coordinates of all 4 atoms:
In 0.5000 0.5000 0.5000
Ac 0.0000 0.0000 0.0000
Tb 0.7500 0.7500 0.7500
Tb 0.2500 0.2500 0.2500


2.
This record from Alexandria describes an optimized crystal structure of Na2PaAuCl8. The functional is PBE-GGA.

raw total energy: -48.579 eV per cell
formation energy without anion corrections: -1.533 eV/atom
size of the total moment: 0.00 μB/f.u.

Cell: 6.3636 6.2286 9.4813 Å, 90.00 89.99 96.64°
Fractional coordinates of all 12 atoms:
Cl 0.8331 0.2150 0.8092
Cl 0.8330 0.2149 0.1908
Cl 0.1669 0.7850 0.1908
Cl 0.1670 0.7851 0.8092
Cl 0.3301 0.2793 0.0000
Cl 0.6699 0.7207 0.0000
Cl 0.7126 0.7316 0.5000
Cl 0.2874 0.2684 0.5000
Au 0.0000 0.0000 0.5000
Pa 0.0000 0.0000 0.0000
Na 0.5000 0.4999 0.7215
Na 0.5000 0.5001 0.2785


3.
This record from Alexandria describes an optimized crystal structure of LiMgAg2Br. The functional is PBE-GGA.

raw total energy: -10.647 eV per cell
formation energy without anion corrections: 0.047 eV/atom
size of the total moment: 0.00 μB/f.u.

Cell: 5.1601 5.4759 5.1601 Å, 90.00 90.00 90.00°
Fractional coordinates of all 5 atoms:
Li 0.5000 0.5000 0.5000
Ag 0.5000 0.0000 0.0000
Ag 0.0000 0.0000 0.5000
Mg 0.0000 0.0000 0.0000
Br 0.0000 0.5000 0.0000


4.
This record from Alexandria describes an optimized crystal structure of Be2V2Ir. The functional is PBE-GGA.

raw total energy: -72.808 eV per cell
size of the total moment: 0.30 μB/f.u.

Cell: 6.1228 6.1228 2.9859 Å, 90.00 90.00 90.00°
Fractional coordinates of all 10 atoms:
Be 0.3772 0.8772 0.0000
Be 0.1228 0.3772 0.0000
Be 0.6228 0.1228 0.0000
Be 0.8772 0.6228 0.0000
V 0.6708 0.8292 0.5000
V 0.8292 0.3292 0.5000
V 0.1708 0.6708 0.5000
V 0.3292 0.1708 0.5000
Ir 0.0000 0.0000 0.0000
Ir 0.5000 0.5000 0.0000


5.
This record from Alexandria describes an optimized crystal structure of Ga2S3N2. The functional is PBE-GGA.

raw total energy: -32.793 eV per cell
formation energy without anion corrections: 0.328 eV/atom
size of the total moment: 0.00 μB/f.u.

Cell: 3.1775 8.5652 8.4479 Å, 57.75 114.34 79.31°
Fractional coordinates of all 7 atoms:
Ga 0.2269 0.3944 0.9307
Ga 0.7731 0.6056 0.0693
S 0.6359 0.3423 0.2803
S 0.0000 0.0000 0.0000
S 0.3641 0.6577 0.7197
N 0.6057 0.8518 0.0288
N 0.3943 0.1482 0.9712


6.
This record from Alexandria describes an optimized crystal structure of Dy3GaNi9Ge2. The functional is PBE-GGA.

raw total energy: -81.276 eV per cell
size of the total moment: 0.00 μB/f.u.

Cell: 5.9394 5.9394 8.5961 Å, 90.00 90.00 120.00°
Fractional coordinates of all 15 atoms:
Ni 0.2669 0.1335 0.7223
Ni 0.7331 0.8666 0.2777
Ni 0.1335 0.8666 0.2777
Ni 0.8666 0.7331 0.7223
Ni 0.8666 0.1335 0.7223
Ni 0.1335 0.2669 0.2777
Ni 0.5000 0.5000 0.0000
Ni 0.0000 0.5000 0.0000
Ni 0.5000 0.0000 0.0000
Dy 0.6667 0.3333 0.2921
Dy 0.0000 0.0000 0.0000
Dy 0.3333 0.6667 0.7079
Ga 0.0000 0.0000 0.5000
Ge 0.6667 0.3333 0.8158
Ge 0.3333 0.6667 0.1842


7.
This record from Alexandria describes an optimized crystal structure of AlCuTeN2. The functional is PBE-GGA.

raw total energy: -23.593 eV per cell
formation energy without anion corrections: 0.808 eV/atom
E above lowest polymorph: 0.000 eV/atom
size of the total moment: 0.00 μB/f.u.

Cell: 3.6958 3.6958 6.1945 Å, 90.00 90.00 90.00°
Fractional coordinates of all 5 atoms:
Cu 0.5000 0.5000 0.5000
N 0.5000 0.0000 0.0000
N 0.0000 0.5000 0.0000
Al 0.0000 0.0000 0.0000
Te 0.0000 0.0000 0.5000


8.
This record from Alexandria describes an optimized crystal structure of MnTcSCl2. The functional is PBE-GGA.

raw total energy: -25.874 eV per cell
formation energy without anion corrections: 0.296 eV/atom
E above lowest polymorph: 0.095 eV/atom
size of the total moment: 0.22 μB/f.u.

Cell: 4.7653 4.7653 4.8544 Å, 90.00 90.00 90.00°
Fractional coordinates of all 5 atoms:
Mn 0.0000 0.0000 0.0000
S 0.0000 0.0000 0.5000
Tc 0.5000 0.5000 0.5000
Cl 0.0000 0.5000 0.0000
Cl 0.5000 0.0000 0.0000